A geometry-optimized ScSiAg structure. Source: Alexandria via LeMat-Bulk, functional GGA-PBE.

Unit cell a=6.7755 b=4.0408 c=7.8474 alpha=90.00 beta=90.00 gamma=90.00
With the nearest neighbours (Å) after each atom.
Element x y z (fractional)
Sc 0.0302 0.2500 0.1792  5 Si 2.78-2.95, 1 Ag 3.07
Sc 0.4698 0.7500 0.6792  5 Si 2.78-2.95, 1 Ag 3.07
Sc 0.5302 0.2500 0.3208  5 Si 2.78-2.95, 1 Ag 3.07
Sc 0.9698 0.7500 0.8208  5 Si 2.78-2.95, 1 Ag 3.07
Si 0.2459 0.2500 0.8724  4 Ag 2.56-2.75, 3 Sc 2.78-2.82
Si 0.2541 0.7500 0.3724  4 Ag 2.56-2.75, 3 Sc 2.78-2.82
Si 0.7459 0.2500 0.6276  4 Ag 2.56-2.75, 3 Sc 2.78-2.82
Si 0.7541 0.7500 0.1276  4 Ag 2.56-2.75, 3 Sc 2.78-2.82
Ag 0.1438 0.2500 0.5577  4 Si 2.56-2.75
Ag 0.3562 0.7500 0.0577  4 Si 2.56-2.75
Ag 0.6438 0.2500 0.9423  4 Si 2.56-2.75
Ag 0.8562 0.7500 0.4423  4 Si 2.56-2.75

Computed properties:
V, Å³ per atom: 17.90
Formation energy (no corrections), eV per formula unit: -1.6
VASP energy, Ha/atom: -0.198
Magnetic moment, Bohr magnetons per cell: 0.00